(1)
# PBE-GGA AcCdGa, optimized geometry
data_AcCdGa
_cell_length_a 4.557
_cell_length_b 6.344
_cell_length_c 6.180
_cell_angle_alpha 90.00
_cell_angle_beta 111.57
_cell_angle_gamma 90.00
_space_group_name_H-M_alt 'P 1 21/m 1'
_space_group_IT_number 11
_space_group_name_Hall '-P 2yb'
loop_
_atom_site_label
_atom_site_type_symbol
_atom_site_fract_x
_atom_site_fract_y
_atom_site_fract_z
_atom_site_occupancy
Ac1 Ac 0.198 0.250 0.396 1
Cd1 Cd 0.500 0.000 0.000 1
Ga1 Ga 0.099 0.750 0.194 1
# DOS(E_F)   0.941 states/eV per atom
# Energy of formation from the pure elements   -0.378 eV/atom
# Excess energy over the best structure of this formula in the dataset   74 meV/atom
# DFT total energy   -3.0613 eV/atom

(2)
# PBE-GGA AcCdGa, optimized geometry
data_AcCdGa
_cell_length_a 4.8726
_cell_length_b 4.8726
_cell_length_c 4.1152
_cell_angle_alpha 90.00
_cell_angle_beta 90.00
_cell_angle_gamma 120.00
_space_group_name_H-M_alt 'P -6 m 2'
_space_group_IT_number 187
_space_group_name_Hall 'P -6 2'
loop_
_atom_site_label
_atom_site_type_symbol
_atom_site_fract_x
_atom_site_fract_y
_atom_site_fract_z
_atom_site_occupancy
Ac1 Ac 0.0000 0.0000 0.0000 1
Cd1 Cd 0.6667 0.3333 0.5000 1
Ga1 Ga 0.3333 0.6667 0.5000 1
# DOS(E_F)   0.706 states/eV per atom
# Energy of formation from the pure elements   -0.421 eV/atom
# Excess energy over the best structure of this formula in the dataset   31 meV/atom
# DFT total energy   -3.1045 eV/atom

> Which of these has the highest energy of formation from the pure elements?

number 1

> Which of these has the lowest DOS(E_F)?

number 2

> DFT total energy of number 2 (AcCdGa)?

-3.1045 eV/atom

> Which value of DFT total energy does entry 1 give?

-3.0613 eV/atom